[1]
6
Lattice="0.000 4.057 4.057 4.057 0.000 4.057 4.057 4.057 0.000" Properties=species:S:1:pos:R:3 comment="ScAlHg4 PBEsol relaxed" magmom_total_mub_per_fu=0.0 e_form_ev_per_atom=0.12 sg="F-43m, No. 216" pbc="T T T"
Sc 0.000 0.000 0.000
Al 6.086 6.086 6.086
Hg 3.041 3.041 3.041
Hg 5.074 5.074 3.041
Hg 5.074 3.041 5.074
Hg 3.041 5.074 5.074

[2]
10
Lattice="6.464 0.000 0.000 0.000 6.464 0.000 0.000 0.000 4.121" Properties=species:S:1:pos:R:3 comment="Cd2CuPt2 PBEsol relaxed" magmom_total_mub_per_fu=0.0 e_form_ev_per_atom=-0.15 sg="P4/mbm, No. 127" pbc="T T T"
Cd 1.069 2.162 0.000
Cd 2.162 5.394 0.000
Cd 4.301 1.069 0.000
Cd 5.394 4.301 0.000
Cu 0.000 0.000 2.061
Cu 3.232 3.232 2.061
Pt 0.913 4.145 2.061
Pt 2.319 0.913 2.061
Pt 4.145 5.550 2.061
Pt 5.550 2.319 2.061

[3]
4
Lattice="0.000 3.868 3.868 3.868 0.000 3.868 3.868 3.868 0.000" Properties=species:S:1:pos:R:3 comment="BaBeBr2 PBEsol relaxed" magmom_total_mub_per_fu=0.0 sg="Fm-3m, No. 225" e_above_lowest_polymorph_ev_per_atom=0.128 raw_formation_energy_kj_per_mol_atoms=-72.7 pbc="T T T"
Ba 0.000 0.000 0.000
Be 3.868 3.868 3.868
Br 1.934 1.934 1.934
Br 5.802 5.802 5.802

[4]
4
Lattice="0.000 3.727 3.727 3.727 0.000 3.727 3.727 3.727 0.000" Properties=species:S:1:pos:R:3 comment="TlSn2Hg PBEsol relaxed" magmom_total_mub_per_fu=0.0 e_form_ev_per_atom=0.06 sg="Fm-3m, No. 225" e_above_lowest_polymorph_ev_per_atom=0.011 pbc="T T T"
Tl 0.000 0.000 0.000
Sn 1.864 1.864 1.864
Sn 5.591 5.591 5.591
Hg 3.727 3.727 3.727